No. 1
GaTcPO: relaxed, PBE.

abc: 3.905 5.849 5.458
angles: 90.00 90.00 90.00
Space group Pmc2_1 (No. 26)
Inequivalent atoms, fractional coordinates:
Ga 0.000 0.152 0.000
Tc 0.500 0.299 0.419
P 0.500 0.322 0.834
O 0.000 0.170 0.365

## Properties
Calculated total energy, eV/atom: -6.2345
E above lowest polymorph, meV per atom: 313
Crystal system: orthorhombic



No. 2
Pr2DySe3: relaxed, PBE.

abc: 4.1688 4.1688 10.3989
angles: 90.00 90.00 120.00
Space group P-3m1 (No. 164)
Inequivalent atoms, fractional coordinates:
Pr 0.3333 0.6667 0.1704
Dy 0.0000 0.0000 0.5000
Se 0.0000 0.0000 0.0000
Se 0.3333 0.6667 0.6531

## Properties
Calculated total energy, eV/atom: -5.9165
Crystal system: trigonal



No. 3
NbBiN2O: relaxed, PBE.

abc: 8.088 5.684 5.797
angles: 90.00 90.00 90.00
Space group Pmc2_1 (No. 26)
Inequivalent atoms, fractional coordinates:
Nb 0.245 0.239 0.000
Bi 0.000 0.251 0.525
Bi 0.500 0.221 0.457
N 0.000 0.333 0.033
N 0.215 0.058 0.334
N 0.500 0.171 0.063
O 0.289 0.444 0.733

## Properties
Calculated total energy, eV/atom: -7.8132
Crystal system: orthorhombic



No. 4
GdCu3As2: relaxed, PBE.

abc: 4.1321 4.1321 6.7149
angles: 90.00 90.00 120.00
Space group P-3m1 (No. 164)
Inequivalent atoms, fractional coordinates:
Gd 0.0000 0.0000 0.0000
Cu 0.0000 0.0000 0.5000
Cu 0.3333 0.6667 0.6478
As 0.3333 0.6667 0.2532

## Properties
Calculated total energy, eV/atom: -4.6761
Crystal system: trigonal



No. 5
TcTe2As: relaxed, PBE.

abc: 6.909 6.909 6.909
angles: 90.00 90.00 90.00
Space group F-43m (No. 216)
Inequivalent atoms, fractional coordinates:
Tc 0.000 0.000 0.000
Te 0.000 0.000 0.500
Te 0.250 0.250 0.750
As 0.250 0.250 0.250

## Properties
Calculated total energy, eV/atom: -4.6303
Crystal system: cubic



No. 6
PmZr: relaxed, PBE.

abc: 5.456 13.944 5.942
angles: 90.00 90.00 90.00
Space group Pmmn (No. 59, origin choice 2)
Inequivalent atoms, fractional coordinates:
Pm 0.250 0.001 0.184
Pm 0.250 0.131 0.657
Zr 0.250 0.250 0.155
Zr 0.250 0.644 0.678
Zr 0.250 0.750 0.140

## Properties
Calculated total energy, eV/atom: -6.5303
E above lowest polymorph, meV per atom: 35
Crystal system: orthorhombic
Energy relative to the elements, eV/atom: 0.1159



No. 7
Na4Gd3Cu: relaxed, PBE.

abc: 6.222 6.222 6.222
angles: 90.00 90.00 90.00
Space group Pm-3m (No. 221)
Inequivalent atoms, fractional coordinates:
Na 0.000 0.000 0.000
Na 0.000 0.500 0.500
Gd 0.000 0.000 0.500
Cu 0.500 0.500 0.500

## Properties
Calculated total energy, eV/atom: -1.9820
Crystal system: cubic



No. 8
NaNpCu: relaxed, PBE.

abc: 6.807 6.807 6.807
angles: 90.00 90.00 90.00
Space group F-43m (No. 216)
Inequivalent atoms, fractional coordinates:
Na 0.000 0.000 0.000
Np 0.250 0.250 0.750
Cu 0.000 0.000 0.500

## Properties
Calculated total energy, eV/atom: -4.6127
E above lowest polymorph, meV per atom: 42
Crystal system: cubic



No. 9
Hf2ReNi: relaxed, PBE.

abc: 3.260 3.260 6.315
angles: 90.00 90.00 90.00
Space group P4/mmm (No. 123)
Inequivalent atoms, fractional coordinates:
Hf 0.000 0.000 0.250
Re 0.500 0.500 0.000
Ni 0.500 0.500 0.500

## Properties
Calculated total energy, eV/atom: -9.9078
E above lowest polymorph, meV per atom: 0
Crystal system: tetragonal
Energy relative to the elements, eV/atom: -0.4325



No. 10
Sm4Co3B6: relaxed, PBE.

abc: 5.3271 5.3271 22.5043
angles: 90.00 90.00 120.00
Space group R-3m (No. 166, hexagonal axes)
Inequivalent atoms, fractional coordinates:
Sm 0.0000 0.0000 0.0892
Sm 0.0000 0.0000 0.2440
Co 0.0000 0.0000 0.3860
Co 0.0000 0.0000 0.5000
B 0.0000 0.3329 0.0000

## Properties
Calculated total energy, eV/atom: -6.4748
Crystal system: trigonal



No. 11
Pd: relaxed, PBE.

abc: 7.750 2.751 34.332
angles: 90.00 90.00 90.00
Space group P2_1/m (No. 11)
Inequivalent atoms, fractional coordinates:
Pd 0.117 0.250 0.230
Pd 0.122 0.250 0.313
Pd 0.125 0.250 0.397
Pd 0.125 0.250 0.479
Pd 0.125 0.250 0.562
Pd 0.125 0.250 0.645
Pd 0.125 0.250 0.730
Pd 0.367 0.750 0.770
Pd 0.372 0.750 0.687
Pd 0.374 0.750 0.604
Pd 0.375 0.750 0.194
Pd 0.375 0.750 0.273
Pd 0.375 0.750 0.355
Pd 0.375 0.750 0.438
Pd 0.375 0.750 0.521

## Properties
Calculated total energy, eV/atom: -5.0352
E above lowest polymorph, meV per atom: 140
Crystal system: monoclinic
Energy relative to the elements, eV/atom: 0.1401



No. 12
Zr3Ni4Bi2P2: relaxed, PBE.

abc: 5.885 5.885 12.241
angles: 90.00 90.00 90.00
Space group I-42m (No. 121)
Inequivalent atoms, fractional coordinates:
Zr 0.000 0.000 0.000
Zr 0.000 0.500 0.250
Ni 0.243 0.243 0.860
Bi 0.000 0.500 0.000
P 0.000 0.000 0.250

## Properties
Calculated total energy, eV/atom: -6.5936
Crystal system: tetragonal